Li2HgBiC: optimized geometry, PBE-GGA.

The structure belongs to space group P4/mmm (No. 123); the cell edges are 4.501, 4.501 and 4.502 Å and the angles 90.00°, 90.00° and 90.00°. The asymmetric unit holds Li at (0.000, 0.500, 0.000), Hg at (0.000, 0.000, 0.500), Bi at (0.500, 0.500, 0.500) and C at (0.000, 0.000, 0.000).

The value obtained for the formation energy is 2.72 eV/f.u. Its electronic total energy is -2.90 eV/atom.